A geometry-optimized CaAcPmCd structure. Source: the Alexandria database, functional PBE.

The structure in POSCAR format:
```
CaAcPmCd
1.0
-1.8482 0.4397 3.2909
-2.0849 -3.0850 -0.7587
6.6025 -5.5564 4.4504
Ca Pm Cd Ac
1 1 1 1
Direct
0.0000 0.0000 0.1226
0.0000 0.0000 0.5289
0.5000 0.5000 0.3276
0.5000 0.5000 0.8056
```

Properties
Its calculated formation energy is -144 meV per atom. Its space-group type is P4mm (99). The uncorrected energy comes out at -12.35 eV/cell. The energy above the most stable polymorph in this dataset comes out at 0.0 meV/atom.